## Si2Mo3 (GGA-PBE)

Data for Si2Mo3 after structural relaxation.

Geometry as POSCAR:
```
Si2Mo3
1.0
-5.646 1.586 -3.069
1.833 -3.609 -5.238
-1.461 -2.652 1.316
Mo Si
6 4
direct
0.500 0.500 0.000
0.000 0.000 0.000
0.662 0.162 0.500
0.838 0.662 0.500
0.162 0.338 0.500
0.338 0.838 0.500
0.867 0.367 0.000
0.133 0.633 0.000
0.633 0.867 0.000
0.367 0.133 0.000
```

Computed properties:
Energy above the lowest structure with this stoichiometry in meV/atom: 0.0
DOS(E_F) in states/eV per cell: 7.9
Magnetization in μB per atom: 0.000
ΔE_f (raw) in kcal/mol of atoms: -6.38
DFT total energy in eV/atom: -8.944

## Si5Mo3 (GGA-PBE)

Data for Si5Mo3 after structural relaxation.

Geometry as POSCAR:
```
Si5Mo3
1.0
-4.608 -1.034 -1.902
2.663 -1.204 -4.169
0.342 -4.113 1.407
Si Mo
5 3
direct
0.307 0.307 0.500
0.000 0.500 0.000
0.693 0.693 0.500
0.000 0.000 0.000
0.500 0.000 0.000
0.207 0.793 0.500
0.793 0.207 0.500
0.500 0.500 0.000
```

Computed properties:
Energy above the lowest structure with this stoichiometry in meV/atom: 41.4
DOS(E_F) in states/eV per cell: 5.5
Magnetization in μB per atom: 0.000
ΔE_f (raw) in kcal/mol of atoms: -1.62
DFT total energy in eV/atom: -7.521

## Si3Mo (GGA-PBE)

Data for Si3Mo after structural relaxation.

Geometry as POSCAR:
```
Si3Mo
1.0
-3.448 -1.155 3.027
-2.985 -0.585 -3.624
1.259 -4.550 -0.303
Si Mo
3 1
direct
0.000 0.500 0.000
0.500 0.000 0.000
0.000 0.000 0.500
0.000 0.000 0.000
```

Computed properties:
Energy above the lowest structure with this stoichiometry in meV/atom: 629.0
DOS(E_F) in states/eV per cell: 0.0
Magnetization in μB per atom: 0.000
ΔE_f (raw) in kcal/mol of atoms: 11.26
DFT total energy in eV/atom: -6.287

## SiMo (GGA-PBE)

Data for SiMo after structural relaxation.

Geometry as POSCAR:
```
SiMo
1.0
-4.514 1.221 4.434
4.537 -2.788 5.387
3.843 9.017 1.429
Mo Si
16 16
direct
0.250 0.457 0.250
0.500 0.293 0.500
0.500 0.707 0.500
0.750 0.457 0.750
0.250 0.543 0.750
0.750 0.957 0.250
0.000 0.707 0.000
0.250 0.043 0.250
0.750 0.043 0.750
0.750 0.543 0.250
0.250 0.957 0.750
0.000 0.293 0.000
0.500 0.793 0.000
0.000 0.793 0.500
0.500 0.207 0.000
0.000 0.207 0.500
0.187 0.500 0.500
0.437 0.750 0.250
0.937 0.250 0.250
0.437 0.250 0.750
0.563 0.250 0.250
0.313 0.500 0.000
0.937 0.750 0.750
0.313 0.000 0.500
0.687 0.000 0.500
0.563 0.750 0.750
0.687 0.500 0.000
0.813 0.000 0.000
0.187 0.000 0.000
0.813 0.500 0.500
0.063 0.250 0.750
0.063 0.750 0.250
```

Computed properties:
DOS(E_F) in states/eV per cell: 30.6
Magnetization in μB per atom: 0.000
ΔE_f (raw) in kcal/mol of atoms: 1.11
DFT total energy in eV/atom: -8.079

## Si5Mo3 (GGA-PBE)

Data for Si5Mo3 after structural relaxation.

Geometry as POSCAR:
```
Si5Mo3
1.0
-1.413 -7.386 0.349
2.152 3.117 -6.506
4.581 -0.824 1.121
Mo Si
6 10
direct
0.378 0.378 0.250
0.000 0.622 0.250
0.000 0.378 0.750
0.378 0.000 0.750
0.622 0.000 0.250
0.622 0.622 0.750
0.333 0.667 0.000
0.333 0.667 0.500
0.000 0.772 0.750
0.772 0.772 0.250
0.228 0.228 0.750
0.228 0.000 0.250
0.772 0.000 0.750
0.667 0.333 0.500
0.667 0.333 0.000
0.000 0.228 0.250
```

Computed properties:
Energy above the lowest structure with this stoichiometry in meV/atom: 136.8
DOS(E_F) in states/eV per cell: 9.5
Magnetization in μB per atom: 0.000
ΔE_f (raw) in kcal/mol of atoms: 0.58
DFT total energy in eV/atom: -7.426

## Si3Mo4 (GGA-PBE)

Data for Si3Mo4 after structural relaxation.

Geometry as POSCAR:
```
Si3Mo4
1.0
2.431 -4.210 0.000
2.431 4.210 0.000
0.000 0.000 4.825
Si Mo
3 4
direct
0.500 0.000 0.000
0.500 0.500 0.000
0.000 0.500 0.000
0.333 0.667 0.500
0.667 0.333 0.500
0.000 0.000 0.247
0.000 0.000 0.753
```

Computed properties:
Energy above the lowest structure with this stoichiometry in meV/atom: 207.2
DOS(E_F) in states/eV per cell: 3.0
Magnetization in μB per atom: 0.000
ΔE_f (raw) in kcal/mol of atoms: -1.76
DFT total energy in eV/atom: -8.590

## SiMo3 (GGA-PBE)

Data for SiMo3 after structural relaxation.

Geometry as POSCAR:
```
SiMo3
1.0
2.867 0.000 0.000
0.000 4.128 0.000
0.000 0.000 5.143
Mo Si
3 1
direct
0.500 0.500 0.242
0.000 0.000 0.500
0.500 0.500 0.758
0.000 0.000 0.000
```

Computed properties:
Energy above the lowest structure with this stoichiometry in meV/atom: 324.2
DOS(E_F) in states/eV per cell: 3.2
Magnetization in μB per atom: 0.000
ΔE_f (raw) in kcal/mol of atoms: -0.02
DFT total energy in eV/atom: -9.480

## Si3Mo (GGA-PBE)

Data for Si3Mo after structural relaxation.

Geometry as POSCAR:
```
Si3Mo
1.0
-3.210 -2.935 9.422
-6.250 -5.227 6.426
6.236 2.185 -8.002
Si Mo
6 2
direct
0.250 0.750 0.500
0.000 0.500 0.500
0.750 0.250 0.500
0.500 0.000 0.500
0.894 0.894 0.000
0.106 0.106 0.000
0.657 0.657 0.000
0.343 0.343 0.000
```

Computed properties:
Energy above the lowest structure with this stoichiometry in meV/atom: 137.9
DOS(E_F) in states/eV per cell: 2.4
Magnetization in μB per atom: 0.000
ΔE_f (raw) in kcal/mol of atoms: -0.06
DFT total energy in eV/atom: -6.778

Number 1: V 14.467 Å³ per atom. Number 2: V 14.027 Å³ per atom. Number 3: V 26.475 Å³ per atom. Number 4: V 15.110 Å³ per atom. Number 5: V 14.684 Å³ per atom. Number 6: V 14.110 Å³ per atom. Number 7: V 15.218 Å³ per atom. Number 8: V 14.802 Å³ per atom.